Gd2LuAl | PBE | optimized geometry

Geometry as extended XYZ:
```
4
Lattice="0.000 3.770 3.770 3.770 0.000 3.770 3.770 3.770 0.000" Properties=species:S:1:pos:R:3 pbc="T T T"
Gd 1.885 1.885 1.885
Gd 5.655 5.655 5.655
Lu 0.000 0.000 0.000
Al 3.770 3.770 3.770
```

Output
E_form, kJ/mol of formula units: -39
Total magnetization, μB per formula unit: 15.19
Offset from the most stable computed form, meV/atom: 94.7